LiLaGe2: relaxed, PBEsol.

Results
The calculation puts the energy above the most stable polymorph in this dataset at 27.1 kJ/mol of atoms. The calculated formation energy comes out at -1.81 eV/f.u.

a b c (Å): 6.9889 6.9889 6.9889
angles (deg): 90.00 90.00 90.00
Space group Fm-3m (No. 225)
Asymmetric unit:
Li (0.0000, 0.0000, 0.0000) [4 per cell]
La (0.0000, 0.0000, 0.5000) [4 per cell]
Ge (0.2500, 0.2500, 0.2500) [8 per cell]